Record 1
A relaxed Co2Ni2Cl7 crystal. Source: Alexandria via LeMat-Bulk, functional PBE-GGA.

```
data_Co2Ni2Cl7
_symmetry_space_group_name_H-M 'C 1 2/c 1'
_symmetry_Int_Tables_number 15
_cell_length_a 9.2273
_cell_length_b 9.4403
_cell_length_c 12.0181
_cell_angle_alpha 90.00
_cell_angle_beta 107.25
_cell_angle_gamma 90.00
loop_
_symmetry_equiv_pos_as_xyz
'x,y,z'
'-x,-y,-z'
'-x,y,-z+1/2'
'x,-y,z+1/2'
'x+1/2,y+1/2,z'
'-x+1/2,-y+1/2,-z'
'-x+1/2,y+1/2,-z+1/2'
'x+1/2,-y+1/2,z+1/2'
loop_
_atom_site_label
_atom_site_type_symbol
_atom_site_fract_x
_atom_site_fract_y
_atom_site_fract_z
Co1 Co 0.2377 0.2500 0.2949
Ni1 Ni 0.1549 0.0872 0.9810
Cl1 Cl 0.0000 0.3385 0.2500
Cl2 Cl 0.1013 0.0584 0.6266
Cl3 Cl 0.1786 0.2846 0.8649
Cl4 Cl 0.1969 0.4208 0.5744
```

Results
E_tot in eV per formula unit: -43.6

Record 2
A relaxed Sm8Rh2Au crystal. Source: Alexandria via LeMat-Bulk, functional PBE-GGA.

```
data_Sm8Rh2Au
_symmetry_space_group_name_H-M 'C 1 m 1'
_symmetry_Int_Tables_number 8
_cell_length_a 8.4788
_cell_length_b 12.8843
_cell_length_c 6.1707
_cell_angle_alpha 90.00
_cell_angle_beta 107.34
_cell_angle_gamma 90.00
loop_
_symmetry_equiv_pos_as_xyz
'x,y,z'
'x,-y,z'
'x+1/2,y+1/2,z'
'x+1/2,-y+1/2,z'
loop_
_atom_site_label
_atom_site_type_symbol
_atom_site_fract_x
_atom_site_fract_y
_atom_site_fract_z
Sm1 Sm 0.0000 0.0000 0.0000
Sm2 Sm 0.0740 0.3682 0.7913
Sm3 Sm 0.1517 0.1332 0.5784
Sm4 Sm 0.2342 0.5000 0.3794
Sm5 Sm 0.3597 0.2230 0.1878
Rh1 Rh 0.3632 0.3106 0.6905
Au1 Au 0.3659 0.0000 0.3545
```

Results
Formation enthalpy at 0 K in eV per atom: -0.35

Record 3
A relaxed ZrFe2Cl crystal. Source: Alexandria via LeMat-Bulk, functional PBE-GGA.

```
data_ZrFe2Cl
_symmetry_space_group_name_H-M 'P 4/m m m'
_symmetry_Int_Tables_number 123
_symmetry_space_group_name_Hall '-P 4 2'
_cell_length_a 3.5007
_cell_length_b 3.5007
_cell_length_c 5.6307
_cell_angle_alpha 90.00
_cell_angle_beta 90.00
_cell_angle_gamma 90.00
loop_
_atom_site_label
_atom_site_type_symbol
_atom_site_fract_x
_atom_site_fract_y
_atom_site_fract_z
Zr1 Zr 0.0000 0.0000 0.0000
Fe1 Fe 0.5000 0.5000 0.1994
Cl1 Cl 0.0000 0.0000 0.5000
```

Results
ΔE to the lowest computed polymorph in eV per atom: 0.302

Record 4
A relaxed Ac2CdPtPb crystal. Source: Alexandria via LeMat-Bulk, functional PBE-GGA.

```
data_Ac2CdPtPb
_symmetry_space_group_name_H-M 'P 1 21/m 1'
_symmetry_Int_Tables_number 11
_cell_length_a 8.2778
_cell_length_b 4.7396
_cell_length_c 8.3417
_cell_angle_alpha 90.00
_cell_angle_beta 109.65
_cell_angle_gamma 90.00
loop_
_symmetry_equiv_pos_as_xyz
'x,y,z'
'-x,-y,-z'
'-x,y+1/2,-z'
'x,-y+1/2,z'
loop_
_atom_site_label
_atom_site_type_symbol
_atom_site_fract_x
_atom_site_fract_y
_atom_site_fract_z
Ac1 Ac 0.1092 0.2500 0.3294
Ac2 Ac 0.2914 0.2500 0.9689
Cd1 Cd 0.4407 0.7500 0.3299
Pt1 Pt 0.1071 0.7500 0.0830
Pb1 Pb 0.3176 0.7500 0.6582
```

Results
Formation enthalpy at 0 K in eV per atom: -0.71

Record 5
A relaxed AcPr5Er4 crystal. Source: Alexandria via LeMat-Bulk, functional PBE-GGA.

```
data_AcPr5Er4
_symmetry_space_group_name_H-M 'P 4/m m m'
_symmetry_Int_Tables_number 123
_symmetry_space_group_name_Hall '-P 4 2'
_cell_length_a 4.1555
_cell_length_b 4.1555
_cell_length_c 20.2876
_cell_angle_alpha 90.00
_cell_angle_beta 90.00
_cell_angle_gamma 90.00
loop_
_atom_site_label
_atom_site_type_symbol
_atom_site_fract_x
_atom_site_fract_y
_atom_site_fract_z
Ac1 Ac 0.0000 0.0000 0.0000
Pr1 Pr 0.5000 0.5000 0.1227
Pr2 Pr 0.5000 0.5000 0.3105
Pr3 Pr 0.5000 0.5000 0.5000
Er1 Er 0.0000 0.0000 0.2170
Er2 Er 0.0000 0.0000 0.4051
```

Results
Formation enthalpy at 0 K in eV per atom: 0.09

Record 6
A relaxed In2Pd3Pt3 crystal. Source: Alexandria via LeMat-Bulk, functional PBE-GGA.

```
data_In2Pd3Pt3
_symmetry_space_group_name_H-M 'P m m m'
_symmetry_Int_Tables_number 47
_cell_length_a 4.0399
_cell_length_b 4.0773
_cell_length_c 8.0170
_cell_angle_alpha 90.00
_cell_angle_beta 90.00
_cell_angle_gamma 90.00
loop_
_symmetry_equiv_pos_as_xyz
'x,y,z'
'-x,-y,-z'
'-x,-y,z'
'x,y,-z'
'x,-y,-z'
'-x,y,z'
'-x,y,-z'
'x,-y,z'
loop_
_atom_site_label
_atom_site_type_symbol
_atom_site_fract_x
_atom_site_fract_y
_atom_site_fract_z
In1 In 0.0000 0.0000 0.2480
Pd1 Pd 0.0000 0.5000 0.0000
Pd2 Pd 0.5000 0.0000 0.0000
Pd3 Pd 0.5000 0.0000 0.5000
Pt1 Pt 0.0000 0.5000 0.5000
Pt2 Pt 0.5000 0.5000 0.2511
```

Results
Formation enthalpy at 0 K in eV per atom: -0.41

Record 7
A relaxed PrNbCo2 crystal. Source: Alexandria via LeMat-Bulk, functional PBE-GGA.

```
data_PrNbCo2
_symmetry_space_group_name_H-M 'P 4/m m m'
_symmetry_Int_Tables_number 123
_symmetry_space_group_name_Hall '-P 4 2'
_cell_length_a 3.1380
_cell_length_b 3.1380
_cell_length_c 7.1007
_cell_angle_alpha 90.00
_cell_angle_beta 90.00
_cell_angle_gamma 90.00
loop_
_atom_site_label
_atom_site_type_symbol
_atom_site_fract_x
_atom_site_fract_y
_atom_site_fract_z
Pr1 Pr 0.0000 0.0000 0.0000
Nb1 Nb 0.0000 0.0000 0.5000
Co1 Co 0.5000 0.5000 0.3126
```

Results
Formation enthalpy at 0 K in eV per atom: 0.01

Record 8
A relaxed Ca2Ge4Au5 crystal. Source: Alexandria via LeMat-Bulk, functional PBE-GGA.

```
data_Ca2Ge4Au5
_symmetry_space_group_name_H-M 'F m m m'
_symmetry_Int_Tables_number 69
_symmetry_space_group_name_Hall '-F 2 2'
_cell_length_a 6.1045
_cell_length_b 9.4134
_cell_length_c 16.6642
_cell_angle_alpha 90.00
_cell_angle_beta 90.00
_cell_angle_gamma 90.00
loop_
_atom_site_label
_atom_site_type_symbol
_atom_site_fract_x
_atom_site_fract_y
_atom_site_fract_z
Ca1 Ca 0.0000 0.0000 0.1310
Ge1 Ge 0.0000 0.1387 0.3610
Au1 Au 0.0000 0.0000 0.5000
Au2 Au 0.2500 0.2500 0.0000
Au3 Au 0.2500 0.2500 0.2500
```

Results
Formation enthalpy at 0 K in eV per atom: -0.27

Record 9
A relaxed CaPm2Au8 crystal. Source: Alexandria via LeMat-Bulk, functional PBE-GGA.

```
data_CaPm2Au8
_symmetry_space_group_name_H-M 'C 1 2/m 1'
_symmetry_Int_Tables_number 12
_cell_length_a 8.0250
_cell_length_b 15.3333
_cell_length_c 5.2384
_cell_angle_alpha 90.00
_cell_angle_beta 130.30
_cell_angle_gamma 90.00
loop_
_symmetry_equiv_pos_as_xyz
'x,y,z'
'-x,-y,-z'
'-x,y,-z'
'x,-y,z'
'x+1/2,y+1/2,z'
'-x+1/2,-y+1/2,-z'
'-x+1/2,y+1/2,-z'
'x+1/2,-y+1/2,z'
loop_
_atom_site_label
_atom_site_type_symbol
_atom_site_fract_x
_atom_site_fract_y
_atom_site_fract_z
Ca1 Ca 0.0000 0.0000 0.0000
Pm1 Pm 0.0000 0.3163 0.5000
Au1 Au 0.0000 0.2002 0.0000
Au2 Au 0.0020 0.5000 0.2521
Au3 Au 0.2289 0.1334 0.7323
```

Results
Formation enthalpy at 0 K in eV per atom: -0.68

Record 10
A relaxed BaTi2InB crystal. Source: Alexandria via LeMat-Bulk, functional PBE-GGA.

```
data_BaTi2InB
_symmetry_space_group_name_H-M 'P 4/m m m'
_symmetry_Int_Tables_number 123
_symmetry_space_group_name_Hall '-P 4 2'
_cell_length_a 5.1522
_cell_length_b 5.1522
_cell_length_c 4.6549
_cell_angle_alpha 90.00
_cell_angle_beta 90.00
_cell_angle_gamma 90.00
loop_
_atom_site_label
_atom_site_type_symbol
_atom_site_fract_x
_atom_site_fract_y
_atom_site_fract_z
Ba1 Ba 0.0000 0.0000 0.0000
Ti1 Ti 0.0000 0.5000 0.0000
In1 In 0.5000 0.5000 0.5000
B1 B 0.0000 0.0000 0.5000
```

Results
Formation enthalpy at 0 K in eV per atom: 2.05

Record 11
A relaxed TiVCrFe crystal. Source: Alexandria via LeMat-Bulk, functional PBE-GGA.

```
data_TiVCrFe
_symmetry_space_group_name_H-M 'P 4 m m'
_symmetry_Int_Tables_number 99
_cell_length_a 2.9257
_cell_length_b 2.9257
_cell_length_c 5.9162
_cell_angle_alpha 90.00
_cell_angle_beta 90.00
_cell_angle_gamma 90.00
loop_
_symmetry_equiv_pos_as_xyz
'x,y,z'
'-y,x,z'
'-x,-y,z'
'y,-x,z'
'-x,y,z'
'y,x,z'
'x,-y,z'
'-y,-x,z'
loop_
_atom_site_label
_atom_site_type_symbol
_atom_site_fract_x
_atom_site_fract_y
_atom_site_fract_z
Ti1 Ti 0.0000 0.0000 0.0000
V1 V 0.0000 0.0000 0.4994
Cr1 Cr 0.5000 0.5000 0.7374
Fe1 Fe 0.5000 0.5000 0.2573
```

Results
Formation enthalpy at 0 K in eV per atom: -0.18

Record 12
A relaxed V4Tc2W3 crystal. Source: Alexandria via LeMat-Bulk, functional PBE-GGA.

```
data_V4Tc2W3
_symmetry_space_group_name_H-M 'C 1 2/c 1'
_symmetry_Int_Tables_number 15
_cell_length_a 11.3950
_cell_length_b 9.8531
_cell_length_c 4.8128
_cell_angle_alpha 90.00
_cell_angle_beta 93.57
_cell_angle_gamma 90.00
loop_
_symmetry_equiv_pos_as_xyz
'x,y,z'
'-x,-y,-z'
'-x,y,-z+1/2'
'x,-y,z+1/2'
'x+1/2,y+1/2,z'
'-x+1/2,-y+1/2,-z'
'-x+1/2,y+1/2,-z+1/2'
'x+1/2,-y+1/2,z+1/2'
loop_
_atom_site_label
_atom_site_type_symbol
_atom_site_fract_x
_atom_site_fract_y
_atom_site_fract_z
V1 V 0.0708 0.2374 0.0157
V2 V 0.1664 0.3276 0.5442
Tc1 Tc 0.2284 0.4060 0.0418
W1 W 0.0000 0.4985 0.2500
W2 W 0.0974 0.0734 0.4889
```

Results
Formation enthalpy at 0 K in eV per atom: 0.08

Density, record by record: 3.2; 8.3; 5.7; 10.4; 7.6; 14.3; 8.4; 9.4; 12.9; 4.8; 6.8; 11.7 g/cm3